Here is crystalline Na2TaO at its relaxed geometry from Alexandria. Energies are from GGA-PBE.

Results
Formation energy (no corrections): -0.247 eV per atom
E: -5.11 eV per atom

Lattice parameters (Å, degrees): 7.5065 7.5065 7.5065 93.92 93.92 149.70
Atoms (fractional coordinates):
Na 0.3750 0.2324 0.3574
Na 0.7676 0.1250 0.1426
Na 0.8750 0.0176 0.6426
Na 0.9824 0.6250 0.8574
Ta 0.2500 0.7500 0.5000
Ta 0.5000 0.5000 0.0000
O 0.0000 0.0000 0.0000
O 0.7500 0.2500 0.5000